A plane-wave DFT calculation with PBE was carried out for La2NdSnO after structural relaxation.

Properties
The total DFT energy (no corrections) is -6.232 eV per atom. As for the formation energy (no corrections): -146.17 kJ per mole of atoms.

CIF file:
```
data_La2NdSnO
_chemical_formula_sum 'La2 Nd1 Sn1 O1'
_symmetry_space_group_name_H-M 'P 4/m m m'
_symmetry_Int_Tables_number 123
_symmetry_space_group_name_Hall '-P 4 2'
_cell_length_a 5.042
_cell_length_b 5.042
_cell_length_c 5.025
_cell_angle_alpha 90.00
_cell_angle_beta 90.00
_cell_angle_gamma 90.00
loop_
_atom_site_label
_atom_site_fract_x
_atom_site_fract_y
_atom_site_fract_z
_atom_site_occupancy
La1 0.000 0.500 0.000 1
Nd1 0.000 0.000 0.500 1
Sn1 0.500 0.500 0.500 1
O1 0.000 0.000 0.000 1
```

***

A plane-wave DFT calculation with PBE was carried out for LaNd2SnO after structural relaxation.

Properties
The total DFT energy (no corrections) is -6.171 eV per atom. As for the formation energy (no corrections): -143.39 kJ per mole of atoms.

CIF file:
```
data_LaNd2SnO
_chemical_formula_sum 'La1 Nd2 Sn1 O1'
_symmetry_space_group_name_H-M 'P 4/m m m'
_symmetry_Int_Tables_number 123
_symmetry_space_group_name_Hall '-P 4 2'
_cell_length_a 5.001
_cell_length_b 5.001
_cell_length_c 5.012
_cell_angle_alpha 90.00
_cell_angle_beta 90.00
_cell_angle_gamma 90.00
loop_
_atom_site_label
_atom_site_fract_x
_atom_site_fract_y
_atom_site_fract_z
_atom_site_occupancy
La1 0.000 0.000 0.000 1
Nd1 0.000 0.500 0.500 1
Sn1 0.500 0.500 0.000 1
O1 0.000 0.000 0.500 1
```

***

A plane-wave DFT calculation with PBE was carried out for La4Nd2Sn3O2 after structural relaxation.

Properties
The total DFT energy (no corrections) is -6.143 eV per atom. As for the formation energy (no corrections): -143.88 kJ per mole of atoms.

CIF file:
```
data_La4Nd2Sn3O2
_chemical_formula_sum 'La8 Nd4 Sn6 O4'
_symmetry_space_group_name_H-M 'I 4/m m m'
_symmetry_Int_Tables_number 139
_symmetry_space_group_name_Hall '-I 4 2'
_cell_length_a 4.884
_cell_length_b 4.884
_cell_length_c 26.422
_cell_angle_alpha 90.00
_cell_angle_beta 90.00
_cell_angle_gamma 90.00
loop_
_atom_site_label
_atom_site_fract_x
_atom_site_fract_y
_atom_site_fract_z
_atom_site_occupancy
La1 0.000 0.500 0.084 1
Nd1 0.000 0.000 0.197 1
Sn1 0.000 0.000 0.321 1
Sn2 0.000 0.000 0.500 1
O1 0.000 0.000 0.104 1
```

***

A plane-wave DFT calculation with PBE was carried out for La3NdSn2O after structural relaxation.

Properties
The total DFT energy (no corrections) is -5.966 eV per atom. As for the formation energy (no corrections): -127.44 kJ per mole of atoms.

CIF file:
```
data_La3NdSn2O
_chemical_formula_sum 'La6 Nd2 Sn4 O2'
_symmetry_space_group_name_H-M 'I m m m'
_symmetry_Int_Tables_number 71
_symmetry_space_group_name_Hall '-I 2 2'
_cell_length_a 4.827
_cell_length_b 4.858
_cell_length_c 17.602
_cell_angle_alpha 90.00
_cell_angle_beta 90.00
_cell_angle_gamma 90.00
loop_
_atom_site_label
_atom_site_fract_x
_atom_site_fract_y
_atom_site_fract_z
_atom_site_occupancy
La1 0.000 0.000 0.000 1
La2 0.000 0.500 0.325 1
Nd1 0.000 0.000 0.500 1
Sn1 0.000 0.500 0.137 1
O1 0.000 0.500 0.500 1
```

***

A plane-wave DFT calculation with PBE was carried out for La2TbNdO after structural relaxation.

Properties
The total DFT energy (no corrections) is -5.973 eV per atom. As for the formation energy (no corrections): -109.11 kJ per mole of atoms.

CIF file:
```
data_La2TbNdO
_chemical_formula_sum 'La2 Tb1 Nd1 O1'
_symmetry_space_group_name_H-M 'P 4/m m m'
_symmetry_Int_Tables_number 123
_symmetry_space_group_name_Hall '-P 4 2'
_cell_length_a 5.321
_cell_length_b 5.321
_cell_length_c 4.778
_cell_angle_alpha 90.00
_cell_angle_beta 90.00
_cell_angle_gamma 90.00
loop_
_atom_site_label
_atom_site_fract_x
_atom_site_fract_y
_atom_site_fract_z
_atom_site_occupancy
La1 0.000 0.500 0.000 1
Tb1 0.000 0.000 0.500 1
Nd1 0.500 0.500 0.500 1
O1 0.000 0.000 0.000 1
```

***

A plane-wave DFT calculation with PBE was carried out for La2NdTcO8 after structural relaxation.

Properties
The total DFT energy (no corrections) is -7.937 eV per atom. As for the formation energy (no corrections): -245.92 kJ per mole of atoms.

CIF file:
```
data_La2NdTcO8
_chemical_formula_sum 'La2 Nd1 Tc1 O8'
_symmetry_space_group_name_H-M 'P 1 2/m 1'
_symmetry_Int_Tables_number 10
_cell_length_a 5.275
_cell_length_b 7.029
_cell_length_c 5.277
_cell_angle_alpha 90.00
_cell_angle_beta 90.47
_cell_angle_gamma 90.00
loop_
_symmetry_equiv_pos_as_xyz
'x,y,z'
'-x,-y,-z'
'-x,y,-z'
'x,-y,z'
loop_
_atom_site_label
_atom_site_fract_x
_atom_site_fract_y
_atom_site_fract_z
_atom_site_occupancy
La1 0.000 0.246 0.000 1
Nd1 0.500 0.500 0.500 1
Tc1 0.500 0.000 0.500 1
O1 0.189 0.500 0.191 1
O2 0.246 0.000 0.249 1
O3 0.326 0.202 0.676 1
```

***

A plane-wave DFT calculation with PBE was carried out for LaNd2TcO8 after structural relaxation.

Properties
The total DFT energy (no corrections) is -7.918 eV per atom. As for the formation energy (no corrections): -245.38 kJ per mole of atoms.

CIF file:
```
data_LaNd2TcO8
_chemical_formula_sum 'La2 Nd4 Tc2 O16'
_symmetry_space_group_name_H-M 'C 1 2/m 1'
_symmetry_Int_Tables_number 12
_cell_length_a 7.359
_cell_length_b 7.363
_cell_length_c 7.077
_cell_angle_alpha 90.00
_cell_angle_beta 90.03
_cell_angle_gamma 90.00
loop_
_symmetry_equiv_pos_as_xyz
'x,y,z'
'-x,-y,-z'
'-x,y,-z'
'x,-y,z'
'x+1/2,y+1/2,z'
'-x+1/2,-y+1/2,-z'
'-x+1/2,y+1/2,-z'
'x+1/2,-y+1/2,z'
loop_
_atom_site_label
_atom_site_fract_x
_atom_site_fract_y
_atom_site_fract_z
_atom_site_occupancy
La1 0.000 0.000 0.000 1
Nd1 0.000 0.500 0.253 1
Tc1 0.000 0.000 0.500 1
O1 0.000 0.179 0.302 1
O2 0.189 0.500 0.000 1
O3 0.243 0.500 0.501 1
```

***

A plane-wave DFT calculation with PBE was carried out for LaNd2TeO8 after structural relaxation.

Properties
The total DFT energy (no corrections) is -7.170 eV per atom. As for the formation energy (no corrections): -231.35 kJ per mole of atoms.

CIF file:
```
data_LaNd2TeO8
_chemical_formula_sum 'La1 Nd2 Te1 O8'
_symmetry_space_group_name_H-M 'P 1 2/m 1'
_symmetry_Int_Tables_number 10
_cell_length_a 4.350
_cell_length_b 7.365
_cell_length_c 5.474
_cell_angle_alpha 90.00
_cell_angle_beta 93.79
_cell_angle_gamma 90.00
loop_
_symmetry_equiv_pos_as_xyz
'x,y,z'
'-x,-y,-z'
'-x,y,-z'
'x,-y,z'
loop_
_atom_site_label
_atom_site_fract_x
_atom_site_fract_y
_atom_site_fract_z
_atom_site_occupancy
La1 0.000 0.000 0.000 1
Nd1 0.500 0.251 0.500 1
Te1 0.000 0.500 0.000 1
O1 0.068 0.301 0.765 1
O2 0.403 0.500 0.179 1
O3 0.460 0.000 0.252 1
```

***

A plane-wave DFT calculation with PBE was carried out for LaNdTe2O8 after structural relaxation.

Properties
The total DFT energy (no corrections) is -6.570 eV per atom. As for the formation energy (no corrections): -186.49 kJ per mole of atoms.

CIF file:
```
data_LaNdTe2O8
_chemical_formula_sum 'La2 Nd2 Te4 O16'
_symmetry_space_group_name_H-M 'I -4 m 2'
_symmetry_Int_Tables_number 119
_symmetry_space_group_name_Hall 'I -4 -2'
_cell_length_a 7.656
_cell_length_b 7.656
_cell_length_c 7.022
_cell_angle_alpha 90.00
_cell_angle_beta 90.00
_cell_angle_gamma 90.00
loop_
_atom_site_label
_atom_site_fract_x
_atom_site_fract_y
_atom_site_fract_z
_atom_site_occupancy
La1 0.000 0.000 0.000 1
Nd1 0.000 0.500 0.250 1
Te1 0.000 0.000 0.500 1
Te2 0.000 0.500 0.750 1
O1 0.000 0.185 0.310 1
O2 0.000 0.319 0.945 1
```

***

A plane-wave DFT calculation with PBE was carried out for La2NdTeO8 after structural relaxation.

Properties
The total DFT energy (no corrections) is -7.205 eV per atom. As for the formation energy (no corrections): -233.41 kJ per mole of atoms.

CIF file:
```
data_La2NdTeO8
_chemical_formula_sum 'La2 Nd1 Te1 O8'
_symmetry_space_group_name_H-M 'P 1 2/m 1'
_symmetry_Int_Tables_number 10
_cell_length_a 4.411
_cell_length_b 7.303
_cell_length_c 5.550
_cell_angle_alpha 90.00
_cell_angle_beta 93.88
_cell_angle_gamma 90.00
loop_
_symmetry_equiv_pos_as_xyz
'x,y,z'
'-x,-y,-z'
'-x,y,-z'
'x,-y,z'
loop_
_atom_site_label
_atom_site_fract_x
_atom_site_fract_y
_atom_site_fract_z
_atom_site_occupancy
La1 0.000 0.248 0.000 1
Nd1 0.500 0.500 0.500 1
Te1 0.500 0.000 0.500 1
O1 0.047 0.500 0.248 1
O2 0.099 0.000 0.330 1
O3 0.432 0.202 0.730 1
```

***

A plane-wave DFT calculation with PBE was carried out for LaNdTeO2 after structural relaxation.

Properties
The total DFT energy (no corrections) is -7.503 eV per atom. As for the formation energy (no corrections): -284.86 kJ per mole of atoms.

CIF file:
```
data_LaNdTeO2
_chemical_formula_sum 'La2 Nd2 Te2 O4'
_symmetry_space_group_name_H-M 'I 4 m m'
_symmetry_Int_Tables_number 107
_symmetry_space_group_name_Hall 'I 4 -2'
_cell_length_a 4.104
_cell_length_b 4.104
_cell_length_c 13.093
_cell_angle_alpha 90.00
_cell_angle_beta 90.00
_cell_angle_gamma 90.00
loop_
_atom_site_label
_atom_site_fract_x
_atom_site_fract_y
_atom_site_fract_z
_atom_site_occupancy
La1 0.000 0.000 0.000 1
Nd1 0.000 0.000 0.681 1
Te1 0.000 0.000 0.337 1
O1 0.000 0.500 0.091 1
```

***

A plane-wave DFT calculation with PBE was carried out for La2NdTlO after structural relaxation.

Properties
The total DFT energy (no corrections) is -5.762 eV per atom. As for the formation energy (no corrections): -132.47 kJ per mole of atoms.

CIF file:
```
data_La2NdTlO
_chemical_formula_sum 'La2 Nd1 Tl1 O1'
_symmetry_space_group_name_H-M 'P 4/m m m'
_symmetry_Int_Tables_number 123
_symmetry_space_group_name_Hall '-P 4 2'
_cell_length_a 5.069
_cell_length_b 5.069
_cell_length_c 5.044
_cell_angle_alpha 90.00
_cell_angle_beta 90.00
_cell_angle_gamma 90.00
loop_
_atom_site_label
_atom_site_fract_x
_atom_site_fract_y
_atom_site_fract_z
_atom_site_occupancy
La1 0.000 0.500 0.000 1
Nd1 0.000 0.000 0.500 1
Tl1 0.500 0.500 0.500 1
O1 0.000 0.000 0.000 1
```